HoEr6Zr | PBE | relaxed

extended XYZ file:
```
8
Lattice="-0.089 3.718 5.008 -2.903 -1.869 5.203 6.361 -3.097 6.073" Properties=species:S:1:pos:R:3 pbc="T T T"
Er 4.945 -0.094 8.679
Er -1.576 -1.154 7.605
Er 3.145 -2.207 10.686
Er 3.883 -3.118 7.475
Er 0.224 0.959 5.598
Er -0.515 1.870 8.809
Zr 0.000 0.000 0.000
Ho 1.684 -0.624 8.142
```

Calculated values
Uncorrected energy ... -35.05 eV for the cell shown
M_tot ... 0.9 μB/f.u.
Formation energy from the elements ... 0.681 eV per atom